{
  "formula": "NaLaV2O8",
  "functional": "PBE with a Hubbard U",
  "state": "optimized geometry",
  "energy_ev_per_cell": -83.56,
  "m_tot_mub_per_cell": 2.02,
  "lattice": [[5.939, 0.000, 0.000], [-2.969, 5.143, 0.000], [0.000, 0.000, 7.019]],
  "species": ["V", "O", "O", "Na", "O", "V", "O", "La", "O", "O", "O", "O"],
  "frac_coords": [[0.333, 0.667, 0.690], [0.172, 0.828, 0.769], [0.667, 0.333, 0.554], [0.000, 0.000, 0.500], [0.656, 0.828, 0.769], [0.667, 0.333, 0.310], [0.333, 0.667, 0.446], [0.000, 0.000, 0.000], [0.828, 0.172, 0.231], [0.172, 0.344, 0.769], [0.344, 0.172, 0.231], [0.828, 0.656, 0.231]]
}


{
  "formula": "Na4La3VO8",
  "functional": "PBE with a Hubbard U",
  "state": "optimized geometry",
  "energy_ev_per_cell": -105.45,
  "m_tot_mub_per_cell": 2.00,
  "lattice": [[-3.635, -5.827, -1.620], [0.839, -2.324, 6.479], [-2.822, 6.370, -1.211]],
  "species": ["O", "O", "Na", "V", "Na", "La", "La", "Na", "O", "O", "O", "La", "O", "Na", "O", "O"],
  "frac_coords": [[0.260, 0.278, 0.521], [0.760, 0.273, 0.519], [0.000, 0.000, 0.500], [0.000, 0.500, 0.000], [0.500, 0.000, 0.000], [0.000, 0.500, 0.500], [0.500, 0.500, 0.000], [0.500, 0.000, 0.500], [0.226, 0.297, 0.011], [0.774, 0.703, 0.989], [0.785, 0.297, 0.011], [0.500, 0.500, 0.500], [0.215, 0.703, 0.989], [0.000, 0.000, 0.000], [0.240, 0.727, 0.481], [0.740, 0.722, 0.479]]
}


{
  "formula": "NaLa2VO5",
  "functional": "PBE with a Hubbard U",
  "state": "optimized geometry",
  "energy_ev_per_cell": -132.99,
  "m_tot_mub_per_cell": 0.04,
  "lattice": [[5.749, 0.000, 0.000], [0.000, 6.962, 0.000], [0.000, 0.000, 6.962]],
  "species": ["O", "O", "La", "O", "Na", "La", "O", "O", "O", "O", "V", "O", "O", "La", "Na", "O", "La", "V"],
  "frac_coords": [[0.238, 0.370, 0.130], [0.762, 0.130, 0.630], [0.500, 0.820, 0.680], [0.500, 0.500, 0.500], [0.000, 0.500, 0.500], [0.500, 0.180, 0.320], [0.762, 0.870, 0.370], [0.238, 0.870, 0.370], [0.238, 0.630, 0.870], [0.762, 0.630, 0.870], [0.000, 0.500, 0.000], [0.762, 0.370, 0.130], [0.500, 0.000, 0.000], [0.500, 0.680, 0.180], [0.000, 0.000, 0.000], [0.238, 0.130, 0.630], [0.500, 0.320, 0.820], [0.000, 0.000, 0.500]]
}


{
  "formula": "NaLaVWO6",
  "functional": "PBE with a Hubbard U",
  "state": "optimized geometry",
  "energy_ev_per_cell": -74.03,
  "m_tot_mub_per_cell": 3.01,
  "lattice": [[5.058, -1.819, 1.725], [2.645, 2.619, 4.244], [0.524, -2.557, 5.006]],
  "species": ["V", "La", "Na", "O", "W", "O", "O", "O", "O", "O"],
  "frac_coords": [[0.000, 0.000, 0.000], [0.750, 0.750, 0.750], [0.250, 0.250, 0.250], [0.743, 0.257, 0.257], [0.500, 0.500, 0.500], [0.743, 0.257, 0.743], [0.257, 0.257, 0.743], [0.743, 0.743, 0.257], [0.257, 0.743, 0.257], [0.257, 0.743, 0.743]]
}


{
  "formula": "NaLaW2O8",
  "functional": "PBE with a Hubbard U",
  "state": "optimized geometry",
  "energy_ev_per_cell": -88.41,
  "e_above_lowest_polymorph_ev_per_atom": 0.033,
  "m_tot_mub_per_cell": 0.00,
  "lattice": [[-5.151, -3.049, -2.271], [4.273, -3.709, 2.996], [-2.123, 4.214, 4.327]],
  "species": ["W", "O", "O", "O", "La", "Na", "O", "O", "O", "O", "O", "W"],
  "frac_coords": [[0.750, 0.250, 0.500], [0.344, 0.535, 0.191], [0.848, 0.656, 0.191], [0.920, 0.237, 0.317], [0.250, 0.750, 0.500], [0.000, 0.000, 0.000], [0.465, 0.656, 0.809], [0.397, 0.080, 0.317], [0.920, 0.603, 0.683], [0.763, 0.080, 0.683], [0.344, 0.152, 0.809], [0.500, 0.500, 0.000]]
}


{
  "formula": "NaLaW2O",
  "functional": "PBE with a Hubbard U",
  "state": "optimized geometry",
  "energy_ev_per_cell": -19.31,
  "m_tot_mub_per_cell": 9.38,
  "lattice": [[-0.715, 5.389, 0.034], [-2.302, -0.328, 3.549], [4.510, 0.579, 2.979]],
  "species": ["W", "O", "W", "Na", "La"],
  "frac_coords": [[0.500, 0.000, 0.000], [0.000, 0.500, 0.000], [0.000, 0.000, 0.500], [0.000, 0.000, 0.000], [0.500, 0.500, 0.500]]
}


{
  "formula": "Na5LaW4O16",
  "functional": "PBE with a Hubbard U",
  "state": "optimized geometry",
  "energy_ev_per_cell": -352.83,
  "m_tot_mub_per_cell": 0.00,
  "lattice": [[10.191, -0.013, 0.000], [-3.585, 9.540, 0.000], [-3.303, -4.763, 8.382]],
  "species": ["O", "Na", "Na", "O", "O", "Na", "O", "O", "O", "W", "O", "O", "O", "La", "Na", "Na", "O", "O", "O", "O", "W", "O", "W", "Na", "O", "O", "O", "O", "Na", "O", "W", "W", "O", "O", "Na", "O", "O", "O", "O", "O", "O", "O", "Na", "W", "O", "Na", "W", "La", "O", "O", "O", "W"],
  "frac_coords": [[0.106, 0.205, 0.534], [0.421, 0.337, 0.327], [0.587, 0.761, 0.416], [0.121, 0.853, 0.099], [0.496, 0.729, 0.599], [0.011, 0.095, 0.673], [0.329, 0.206, 0.825], [0.428, 0.894, 0.098], [0.456, 0.130, 0.376], [0.365, 0.085, 0.915], [0.482, 0.037, 0.678], [0.380, 0.504, 0.175], [0.496, 0.671, 0.876], [0.000, 0.000, 0.000], [0.239, 0.655, 0.827], [0.905, 0.579, 0.916], [0.921, 0.544, 0.675], [0.794, 0.620, 0.124], [0.271, 0.871, 0.768], [0.754, 0.079, 0.624], [0.885, 0.665, 0.585], [0.979, 0.879, 0.732], [0.170, 0.450, 0.085], [0.750, 0.250, 0.500], [0.795, 0.329, 0.902], [0.129, 0.897, 0.401], [0.144, 0.545, 0.966], [0.147, 0.246, 0.268], [0.345, 0.171, 0.584], [0.822, 0.856, 0.402], [0.915, 0.830, 0.279], [0.335, 0.920, 0.221], [0.359, 0.804, 0.322], [0.579, 0.178, 0.034], [0.829, 0.413, 0.173], [0.671, 0.572, 0.466], [0.103, 0.504, 0.232], [0.768, 0.713, 0.822], [0.287, 0.109, 0.055], [0.196, 0.518, 0.555], [0.455, 0.421, 0.598], [0.891, 0.946, 0.178], [0.500, 0.500, 0.000], [0.080, 0.300, 0.415], [0.054, 0.232, 0.945], [0.663, 0.989, 0.084], [0.700, 0.115, 0.779], [0.250, 0.750, 0.500], [0.963, 0.641, 0.445], [0.754, 0.021, 0.901], [0.870, 0.246, 0.325], [0.550, 0.635, 0.721]]
}


{
  "formula": "NaLaW2O8",
  "functional": "PBE with a Hubbard U",
  "state": "optimized geometry",
  "energy_ev_per_cell": -88.81,
  "e_above_lowest_polymorph_ev_per_atom": 0.000,
  "m_tot_mub_per_cell": 0.00,
  "lattice": [[-6.187, -3.261, 0.187], [-1.790, -2.181, 6.402], [2.237, 6.081, -2.639]],
  "species": ["O", "O", "W", "O", "Na", "La", "O", "O", "O", "O", "W", "O"],
  "frac_coords": [[0.825, 0.733, 0.382], [0.428, 0.011, 0.107], [0.750, 0.250, 0.500], [0.904, 0.321, 0.893], [0.000, 0.000, 0.000], [0.250, 0.750, 0.500], [0.267, 0.649, 0.091], [0.558, 0.175, 0.909], [0.679, 0.572, 0.583], [0.351, 0.442, 0.618], [0.500, 0.500, 0.000], [0.989, 0.096, 0.417]]
}